Density functional theory data (GGA+U) for an optimized crystal structure of MgV2AgF.

- Magnetization: 7.756 μB per formula unit
- Total DFT energy (no corrections): -18.9 eV per formula unit
- Volume: 110.4 Å³/cell

Cell: 5.5048 3.6443 5.5048 Å, 90.00 90.00 90.00°
Last column: nearest neighbours and their distance in Å.
Fractional positions:
Mg (0.0000, 0.0000, 0.0000)  2 F 1.82
F (0.0000, 0.5000, 0.0000)  2 Mg 1.82
Ag (0.5000, 0.5000, 0.5000)  8 V 3.30, 2 Ag 3.64
V (0.0000, 0.0000, 0.5000)  2 Mg 2.75
V (0.5000, 0.0000, 0.0000)  2 Mg 2.75